# Sm2MgCu2 | Alexandria via LeMat-Bulk | PBE | relaxed
data_Sm2MgCu2
_chemical_formula_sum 'Sm4 Mg2 Cu4'
_cell_length_a 7.733
_cell_length_b 7.733
_cell_length_c 3.809
_cell_angle_alpha 90.00
_cell_angle_beta 90.00
_cell_angle_gamma 90.00
_symmetry_space_group_name_H-M 'P 4/m b m'
_symmetry_Int_Tables_number 127
_symmetry_space_group_name_Hall '-P 4 2ab'
loop_
_atom_site_label
_atom_site_fract_x
_atom_site_fract_y
_atom_site_fract_z
Sm1 0.170 0.330 0.000
Mg1 0.000 0.000 0.500
Cu1 0.123 0.623 0.500
# energy of formation from the pure elements = -0.22 eV per atom
# V = 228 Å³ per cell